NaSmAsO: relaxed, GGA-PBE.

POSCAR file:
```
NaSmAsO
1.0
3.6359 0.0000 0.0000
0.0000 8.4068 0.0000
0.0000 0.0000 6.0854
Na Sm As O
2 2 2 2
direct
0.0000 0.0779 0.0000 Na
0.0000 0.9221 0.5000 Na
0.5000 0.3112 0.3907 Sm
0.5000 0.6888 0.8907 Sm
0.5000 0.3393 0.8822 As
0.5000 0.6607 0.3822 As
0.0000 0.1690 0.3617 O
0.0000 0.8310 0.8617 O
```

Summary:
DFT total energy	-5.469	eV/atom
energy relative to the lowest polymorph listed for this composition	106	meV per atom
M_tot	0.001	μB per cell